Here is a relaxed structure of PmThBiSb from Alexandria. Energies are from GGA-PBE. Values from VASP.

Calculated values
E = -0.4377 Ry/atom
formation energy (no corrections) = -3.65 eV/f.u.
M_tot = 0.0 μB per cell
crystal system = trigonal
offset from the most stable computed form = 0 meV/atom
density of states at the Fermi level = 0.525 states/eV/atom

Geometry as Quantum ESPRESSO input:
```
&SYSTEM
  ibrav = 0, nat = 4, ntyp = 4
/
ATOMIC_SPECIES
Pm 145.00 Pm.upf
Th 232.04 Th.upf
Bi 208.98 Bi.upf
Sb 121.76 Sb.upf
CELL_PARAMETERS angstrom
2.2713 1.3114 7.4195
-2.2713 1.3114 7.4195
0.0000 -2.6227 7.4195
ATOMIC_POSITIONS crystal
Pm 0.0000 0.0000 0.0000
Th 0.4945 0.4945 0.4945
Bi 0.2476 0.2476 0.2476
Sb 0.7468 0.7468 0.7468
```